1.
TaAl2Rh: optimized geometry, GGA-PBE.

## Properties
The density of states at the Fermi level is 0.60 states/eV per atom. The calculation puts the formation energy at -0.3924 eV per atom.

Cell and atoms, written as CIF:
```
data_TaAl2Rh
_space_group_name_H-M_alt 'I m m m'
_space_group_IT_number 71
_space_group_name_Hall '-I 2 2'
_cell_length_a 2.874
_cell_length_b 4.852
_cell_length_c 9.091
_cell_angle_alpha 90.00
_cell_angle_beta 90.00
_cell_angle_gamma 90.00
loop_
_atom_site_label
_atom_site_type_symbol
_atom_site_fract_x
_atom_site_fract_y
_atom_site_fract_z
Ta1 Ta 0.000 0.000 0.000
Al1 Al 0.000 0.500 0.231
Rh1 Rh 0.000 0.000 0.500
```

=====

2.
ZnCo2Ru: optimized geometry, GGA-PBE.

## Properties
The density of states at the Fermi level is 1.42 states/eV per atom. The calculation puts the formation energy at 0.1345 eV per atom.

Cell and atoms, written as CIF:
```
data_ZnCo2Ru
_space_group_name_H-M_alt 'P m m 2'
_space_group_IT_number 25
_cell_length_a 2.626
_cell_length_b 3.541
_cell_length_c 5.355
_cell_angle_alpha 90.00
_cell_angle_beta 90.00
_cell_angle_gamma 90.00
loop_
_space_group_symop_operation_xyz
'x,y,z'
'-x,-y,z'
'-x,y,z'
'x,-y,z'
loop_
_atom_site_label
_atom_site_type_symbol
_atom_site_fract_x
_atom_site_fract_y
_atom_site_fract_z
Zn1 Zn 0.000 0.000 0.000
Co1 Co 0.000 0.000 0.476
Co2 Co 0.500 0.500 0.247
Ru1 Ru 0.500 0.500 0.722
```

=====

3.
Na2CeF6: optimized geometry, GGA-PBE.

## Properties
The calculation puts the uncorrected formation energy at -3334 meV/atom. The density of states at the Fermi level is 0.00 states/eV per atom.

Cell and atoms, written as CIF:
```
data_Na2CeF6
_space_group_name_H-M_alt 'P 3 2 1'
_space_group_IT_number 150
_cell_length_a 6.0285
_cell_length_b 6.0285
_cell_length_c 3.7505
_cell_angle_alpha 90.00
_cell_angle_beta 90.00
_cell_angle_gamma 120.00
loop_
_space_group_symop_operation_xyz
'x,y,z'
'-y,x-y,z'
'-x+y,-x,z'
'y,x,-z'
'x-y,-y,-z'
'-x,-x+y,-z'
loop_
_atom_site_label
_atom_site_type_symbol
_atom_site_fract_x
_atom_site_fract_y
_atom_site_fract_z
Na1 Na 0.3333 0.6667 0.0678
Ce1 Ce 0.0000 0.0000 0.5000
F1 F 0.0000 0.3665 0.5000
F2 F 0.0000 0.7490 0.0000
```

=====

4.
NaNiIN2: optimized geometry, GGA-PBE.

## Properties
The calculation puts the uncorrected formation energy at 2060 meV/atom. The density of states at the Fermi level is 1.34 states/eV per atom.

Cell and atoms, written as CIF:
```
data_NaNiIN2
_space_group_name_H-M_alt 'P 4/m m m'
_space_group_IT_number 123
_space_group_name_Hall '-P 4 2'
_cell_length_a 4.343
_cell_length_b 4.343
_cell_length_c 6.244
_cell_angle_alpha 90.00
_cell_angle_beta 90.00
_cell_angle_gamma 90.00
loop_
_atom_site_label
_atom_site_type_symbol
_atom_site_fract_x
_atom_site_fract_y
_atom_site_fract_z
Na1 Na 0.000 0.000 0.000
Ni1 Ni 0.500 0.500 0.500
I1 I 0.000 0.000 0.500
N1 N 0.000 0.500 0.000
```

=====

5.
LiPuPa: optimized geometry, GGA-PBE.

## Properties
The density of states at the Fermi level is 1.63 states/eV per atom. The calculation puts the formation energy at 0.3402 eV per atom.

Cell and atoms, written as CIF:
```
data_LiPuPa
_space_group_name_H-M_alt 'C 1 2/m 1'
_space_group_IT_number 12
_cell_length_a 6.564
_cell_length_b 3.551
_cell_length_c 11.415
_cell_angle_alpha 90.00
_cell_angle_beta 96.72
_cell_angle_gamma 90.00
loop_
_space_group_symop_operation_xyz
'x,y,z'
'-x,-y,-z'
'-x,y,-z'
'x,-y,z'
'x+1/2,y+1/2,z'
'-x+1/2,-y+1/2,-z'
'-x+1/2,y+1/2,-z'
'x+1/2,-y+1/2,z'
loop_
_atom_site_label
_atom_site_type_symbol
_atom_site_fract_x
_atom_site_fract_y
_atom_site_fract_z
Li1 Li 0.175 0.000 0.079
Pu1 Pu 0.248 0.000 0.426
Pa1 Pa 0.038 0.500 0.298
```

=====

6.
CaCdSn: optimized geometry, GGA-PBE.

## Properties
The density of states at the Fermi level is 0.69 states/eV per atom. The calculation puts the formation energy at -0.3601 eV per atom.

Cell and atoms, written as CIF:
```
data_CaCdSn
_space_group_name_H-M_alt 'P 1 21/m 1'
_space_group_IT_number 11
_cell_length_a 4.497
_cell_length_b 6.427
_cell_length_c 6.165
_cell_angle_alpha 90.00
_cell_angle_beta 111.34
_cell_angle_gamma 90.00
loop_
_space_group_symop_operation_xyz
'x,y,z'
'-x,-y,-z'
'-x,y+1/2,-z'
'x,-y+1/2,z'
loop_
_atom_site_label
_atom_site_type_symbol
_atom_site_fract_x
_atom_site_fract_y
_atom_site_fract_z
Ca1 Ca 0.190 0.250 0.379
Cd1 Cd 0.500 0.000 0.000
Sn1 Sn 0.110 0.750 0.220
```

=====

7.
AlZnIr4: optimized geometry, GGA-PBE.

## Properties
The density of states at the Fermi level is 0.85 states/eV per atom. The calculation puts the formation energy at 0.2216 eV per atom.

Cell and atoms, written as CIF:
```
data_AlZnIr4
_space_group_name_H-M_alt 'F -4 3 m'
_space_group_IT_number 216
_space_group_name_Hall 'F -4 2 3'
_cell_length_a 7.304
_cell_length_b 7.304
_cell_length_c 7.304
_cell_angle_alpha 90.00
_cell_angle_beta 90.00
_cell_angle_gamma 90.00
loop_
_atom_site_label
_atom_site_type_symbol
_atom_site_fract_x
_atom_site_fract_y
_atom_site_fract_z
Al1 Al 0.000 0.000 0.000
Zn1 Zn 0.250 0.250 0.750
Ir1 Ir 0.125 0.125 0.375
```

=====

8.
NdSc7: optimized geometry, GGA-PBE.

## Properties
The density of states at the Fermi level is 1.81 states/eV per atom. The calculation puts the formation energy at 0.0291 eV per atom.

Cell and atoms, written as CIF:
```
data_NdSc7
_space_group_name_H-M_alt 'I m m m'
_space_group_IT_number 71
_space_group_name_Hall '-I 2 2'
_cell_length_a 3.285
_cell_length_b 10.312
_cell_length_c 12.171
_cell_angle_alpha 90.00
_cell_angle_beta 90.00
_cell_angle_gamma 90.00
loop_
_atom_site_label
_atom_site_type_symbol
_atom_site_fract_x
_atom_site_fract_y
_atom_site_fract_z
Nd1 Nd 0.000 0.000 0.000
Sc1 Sc 0.000 0.229 0.365
Sc2 Sc 0.000 0.500 0.000
Sc3 Sc 0.000 0.500 0.252
```

=====

9.
PuZr2Bi: optimized geometry, GGA-PBE.

## Properties
The density of states at the Fermi level is 2.59 states/eV per atom. The calculation puts the formation energy at -0.0411 eV per atom.

Cell and atoms, written as CIF:
```
data_PuZr2Bi
_space_group_name_H-M_alt 'F m -3 m'
_space_group_IT_number 225
_space_group_name_Hall '-F 4 2 3'
_cell_length_a 7.256
_cell_length_b 7.256
_cell_length_c 7.256
_cell_angle_alpha 90.00
_cell_angle_beta 90.00
_cell_angle_gamma 90.00
loop_
_atom_site_label
_atom_site_type_symbol
_atom_site_fract_x
_atom_site_fract_y
_atom_site_fract_z
Pu1 Pu 0.000 0.000 0.000
Zr1 Zr 0.250 0.250 0.250
Bi1 Bi 0.000 0.000 0.500
```

=====

10.
PmSm7Ga4: optimized geometry, GGA-PBE.

## Properties
The density of states at the Fermi level is 1.01 states/eV per atom. The calculation puts the formation energy at -0.2003 eV per atom.

Cell and atoms, written as CIF:
```
data_PmSm7Ga4
_space_group_name_H-M_alt 'C 1 2/m 1'
_space_group_IT_number 12
_cell_length_a 13.848
_cell_length_b 5.596
_cell_length_c 10.473
_cell_angle_alpha 90.00
_cell_angle_beta 124.03
_cell_angle_gamma 90.00
loop_
_space_group_symop_operation_xyz
'x,y,z'
'-x,-y,-z'
'-x,y,-z'
'x,-y,z'
'x+1/2,y+1/2,z'
'-x+1/2,-y+1/2,-z'
'-x+1/2,y+1/2,-z'
'x+1/2,-y+1/2,z'
loop_
_atom_site_label
_atom_site_type_symbol
_atom_site_fract_x
_atom_site_fract_y
_atom_site_fract_z
Pm1 Pm 0.000 0.000 0.000
Sm1 Sm 0.000 0.500 0.000
Sm2 Sm 0.065 0.000 0.388
Sm3 Sm 0.204 0.500 0.643
Sm4 Sm 0.207 0.000 0.879
Ga1 Ga 0.054 0.500 0.758
Ga2 Ga 0.180 0.500 0.331
```

=====

11.
SrReHg4: optimized geometry, GGA-PBE.

## Properties
The density of states at the Fermi level is 0.48 states/eV per atom. The calculation puts the formation energy at 0.5816 eV per atom.

Cell and atoms, written as CIF:
```
data_SrReHg4
_space_group_name_H-M_alt 'F -4 3 m'
_space_group_IT_number 216
_space_group_name_Hall 'F -4 2 3'
_cell_length_a 8.314
_cell_length_b 8.314
_cell_length_c 8.314
_cell_angle_alpha 90.00
_cell_angle_beta 90.00
_cell_angle_gamma 90.00
loop_
_atom_site_label
_atom_site_type_symbol
_atom_site_fract_x
_atom_site_fract_y
_atom_site_fract_z
Sr1 Sr 0.000 0.000 0.000
Re1 Re 0.250 0.250 0.250
Hg1 Hg 0.124 0.124 0.624
```

=====

12.
La3Cu2Ir: optimized geometry, GGA-PBE.

## Properties
The density of states at the Fermi level is 0.99 states/eV per atom. The calculation puts the formation energy at -0.3495 eV per atom.

Cell and atoms, written as CIF:
```
data_La3Cu2Ir
_space_group_name_H-M_alt 'P n m a'
_space_group_IT_number 62
_cell_length_a 12.191
_cell_length_b 4.412
_cell_length_c 11.478
_cell_angle_alpha 90.00
_cell_angle_beta 90.00
_cell_angle_gamma 90.00
loop_
_space_group_symop_operation_xyz
'x,y,z'
'-x,-y,-z'
'-x+1/2,-y,z+1/2'
'x+1/2,y,-z+1/2'
'x+1/2,-y+1/2,-z+1/2'
'-x+1/2,y+1/2,z+1/2'
'-x,y+1/2,-z'
'x,-y+1/2,z'
loop_
_atom_site_label
_atom_site_type_symbol
_atom_site_fract_x
_atom_site_fract_y
_atom_site_fract_z
La1 La 0.051 0.250 0.125
La2 La 0.115 0.750 0.558
La3 La 0.231 0.250 0.796
Cu1 Cu 0.013 0.750 0.306
Cu2 Cu 0.200 0.750 0.001
Ir1 Ir 0.121 0.250 0.366
```